Density functional theory data (PBE) for a relaxed Hf4PdRu crystal.

The structure in CIF format:
```
data_Hf4PdRu
_chemical_formula_sum 'Hf8 Pd2 Ru2'
_cell_length_a 3.211
_cell_length_b 5.496
_cell_length_c 13.342
_cell_angle_alpha 89.60
_cell_angle_beta 90.00
_cell_angle_gamma 90.00
_symmetry_space_group_name_H-M 'P 1'
_symmetry_Int_Tables_number 1
_symmetry_space_group_name_Hall 'P 1'
loop_
_atom_site_label
_atom_site_type_symbol
_atom_site_fract_x
_atom_site_fract_y
_atom_site_fract_z
_atom_site_occupancy
Hf1 Hf 0.500 0.170 0.342 1
Hf2 Hf 0.000 0.330 0.158 1
Hf3 Hf 0.500 0.830 0.658 1
Hf4 Hf 0.000 0.670 0.842 1
Hf5 Hf 0.000 0.662 0.345 1
Hf6 Hf 0.500 0.838 0.155 1
Hf7 Hf 0.000 0.338 0.655 1
Hf8 Hf 0.500 0.162 0.845 1
Pd1 Pd 0.000 0.000 0.500 1
Pd2 Pd 0.500 0.500 0.000 1
Ru1 Ru 0.500 0.500 0.500 1
Ru2 Ru 0.000 0.000 0.000 1
```

Summary:
Space group: C2/m, No. 12
DFT formation energy in eV/atom: -0.236
Crystal system: monoclinic
N(E_F) in states/eV per atom: 0.868
DFT total energy in eV for the cell shown: -111.40